<1>
A relaxed OsPt2Cl crystal. Source: Alexandria, functional PBE.

Structure (CIF):
```
data_OsPt2Cl
_cell_length_a 5.0080
_cell_length_b 5.0080
_cell_length_c 2.7581
_cell_angle_alpha 89.98
_cell_angle_beta 89.98
_cell_angle_gamma 114.64
_symmetry_space_group_name_H-M 'P 1'
_symmetry_Int_Tables_number 1
loop_
_symmetry_equiv_pos_as_xyz
'x,y,z'
loop_
_atom_site_label
_atom_site_type_symbol
_atom_site_fract_x
_atom_site_fract_y
_atom_site_fract_z
Cl1 Cl 0.5000 0.0000 0.5000
Os1 Os 0.0000 0.5000 0.5000
Pt1 Pt 0.5000 0.5000 0.0000
Pt2 Pt 0.0000 0.0000 0.0000
```

---

<2>
A relaxed OsPt2Cl crystal. Source: Alexandria, functional PBE.

Structure (CIF):
```
data_OsPt2Cl
_cell_length_a 2.8934
_cell_length_b 2.8418
_cell_length_c 8.0040
_cell_angle_alpha 89.95
_cell_angle_beta 90.00
_cell_angle_gamma 90.00
_symmetry_space_group_name_H-M 'P 1'
_symmetry_Int_Tables_number 1
loop_
_symmetry_equiv_pos_as_xyz
'x,y,z'
loop_
_atom_site_label
_atom_site_type_symbol
_atom_site_fract_x
_atom_site_fract_y
_atom_site_fract_z
Pt1 Pt 0.0000 0.2506 0.5244
Pt2 Pt 0.0000 0.2494 0.9756
Os1 Os 0.5000 0.7500 0.7500
Cl1 Cl 0.5000 0.2500 0.2500
```

---

What is the stability order? It is <2>, <1>, from most stable to least stable.

---

<1>
A relaxed FeTc2Cl crystal. Source: Alexandria, functional PBE.

Structure (CIF):
```
data_FeTc2Cl
_cell_length_a 3.9022
_cell_length_b 2.8509
_cell_length_c 5.3372
_cell_angle_alpha 74.57
_cell_angle_beta 90.00
_cell_angle_gamma 90.00
_symmetry_space_group_name_H-M 'P 1'
_symmetry_Int_Tables_number 1
loop_
_symmetry_equiv_pos_as_xyz
'x,y,z'
loop_
_atom_site_label
_atom_site_type_symbol
_atom_site_fract_x
_atom_site_fract_y
_atom_site_fract_z
Tc1 Tc 0.5000 0.4459 0.2336
Cl1 Cl 0.0000 0.3005 0.5289
Tc2 Tc 0.0000 0.0702 0.9841
Fe1 Fe 0.5000 0.6833 0.7534
```

---

<2>
A relaxed FeTc2Cl crystal. Source: Alexandria, functional PBE.

Structure (CIF):
```
data_FeTc2Cl
_cell_length_a 4.2307
_cell_length_b 4.2307
_cell_length_c 7.6169
_cell_angle_alpha 60.14
_cell_angle_beta 60.14
_cell_angle_gamma 39.26
_symmetry_space_group_name_H-M 'P 1'
_symmetry_Int_Tables_number 1
loop_
_symmetry_equiv_pos_as_xyz
'x,y,z'
loop_
_atom_site_label
_atom_site_type_symbol
_atom_site_fract_x
_atom_site_fract_y
_atom_site_fract_z
Fe1 Fe 0.2500 0.2500 0.2500
Tc1 Tc 0.4493 0.4493 0.4152
Tc2 Tc 0.0507 0.0507 0.0848
Cl1 Cl 0.7500 0.7500 0.7500
```

---

What is the stability order? It is <1>, <2>, from most stable to least stable.

---

<1>
A relaxed LiSi2Tc crystal. Source: Alexandria, functional PBE.

Structure (CIF):
```
data_LiSi2Tc
_cell_length_a 2.6967
_cell_length_b 2.6967
_cell_length_c 8.1605
_cell_angle_alpha 90.00
_cell_angle_beta 90.00
_cell_angle_gamma 106.12
_symmetry_space_group_name_H-M 'P 1'
_symmetry_Int_Tables_number 1
loop_
_symmetry_equiv_pos_as_xyz
'x,y,z'
loop_
_atom_site_label
_atom_site_type_symbol
_atom_site_fract_x
_atom_site_fract_y
_atom_site_fract_z
Li1 Li 0.5000 0.5000 0.7522
Si1 Si 0.0000 0.0000 0.0132
Tc1 Tc 0.0000 0.0000 0.4803
Si2 Si 0.5000 0.5000 0.2543
```

---

<2>
A relaxed LiSi2Tc crystal. Source: Alexandria, functional PBE.

Structure (CIF):
```
data_LiSi2Tc
_cell_length_a 3.2388
_cell_length_b 3.2388
_cell_length_c 5.0016
_cell_angle_alpha 90.00
_cell_angle_beta 90.00
_cell_angle_gamma 90.00
_symmetry_space_group_name_H-M 'P 1'
_symmetry_Int_Tables_number 1
loop_
_symmetry_equiv_pos_as_xyz
'x,y,z'
loop_
_atom_site_label
_atom_site_type_symbol
_atom_site_fract_x
_atom_site_fract_y
_atom_site_fract_z
Tc1 Tc 0.0000 0.0000 0.4810
Si1 Si 0.0000 0.0000 0.9877
Si2 Si 0.5000 0.5000 0.2713
Li1 Li 0.5000 0.5000 0.7600
```

---

What is the stability order? It is <2>, <1>, from most stable to least stable.